Below is an optimized crystal structure of Be2ZnAg, with properties calculated at the GGA-PBE level. Values from VASP.

Cell and atoms, written as Quantum ESPRESSO input:
```
&SYSTEM
  ibrav = 0, nat = 4, ntyp = 3
/
ATOMIC_SPECIES
Be 9.01 Be.upf
Zn 65.41 Zn.upf
Ag 107.87 Ag.upf
ATOMIC_POSITIONS angstrom
Be -0.104 0.044 0.073
Be -1.966 1.489 1.778
Zn -1.729 1.677 -0.605
Ag -3.798 3.210 1.246
CELL_PARAMETERS angstrom
-1.389 1.822 -3.061
-2.426 -0.727 0.668
-1.713 3.792 3.034
```

For the mass density, the calculation gives 6.37 g cm⁻³. The magnetization comes out at 0.00 μB per formula unit. The calculation puts the calculated total energy at -2.635 eV per atom. The formation energy is 25.0 kJ/mol of atoms.